No. 1
## BaSrTa4 (PBE)

Data for BaSrTa4 after structural relaxation.

* formation enthalpy at 0 K: 894 meV/atom
* space-group type: F-43m

a b c (Å): 6.004 6.004 6.004
angles (deg): 60.00 60.00 60.00
Positions (direct):
Ba (0.000, 0.000, 0.000)
Sr (0.750, 0.750, 0.750)
Ta (0.384, 0.384, 0.384)
Ta (0.384, 0.384, 0.847)
Ta (0.384, 0.847, 0.384)
Ta (0.847, 0.384, 0.384)

=====

No. 2
## Mg2CuW (PBE)

Data for Mg2CuW after structural relaxation.

* formation enthalpy at 0 K: 423 meV/atom
* E above lowest polymorph: 0.1985 eV/atom
* space-group type: P2/m

a b c (Å): 2.701 4.542 5.411
angles (deg): 90.00 100.01 90.00
Positions (direct):
Mg (0.179, 0.000, 0.250)
Mg (0.821, 0.000, 0.750)
Cu (0.000, 0.500, 0.500)
W (0.500, 0.500, 0.000)

=====

No. 3
## Li2CdF (PBE)

Data for Li2CdF after structural relaxation.

* E above lowest polymorph: 0.0000 eV/atom
* space-group type: R-3m

a b c (Å): 7.571 7.571 7.571
angles (deg): 22.85 22.85 22.85
Positions (direct):
Li (0.219, 0.219, 0.219)
Li (0.781, 0.781, 0.781)
Cd (0.000, 0.000, 0.000)
F (0.500, 0.500, 0.500)

=====

No. 4
## Cs3Rb2IO6 (PBE)

Data for Cs3Rb2IO6 after structural relaxation.

* space-group type: C2/m

a b c (Å): 6.912 6.912 6.836
angles (deg): 99.27 99.27 120.00
Positions (direct):
Cs (0.000, 0.000, 0.000)
Cs (0.332, 0.668, 0.000)
Cs (0.668, 0.332, 0.000)
Rb (0.167, 0.833, 0.500)
Rb (0.833, 0.167, 0.500)
I (0.500, 0.500, 0.500)
O (0.213, 0.442, 0.330)
O (0.331, 0.331, 0.681)
O (0.442, 0.213, 0.330)
O (0.558, 0.787, 0.670)
O (0.669, 0.669, 0.319)
O (0.787, 0.558, 0.670)

=====

No. 5
## TlMoPb2 (PBE)

Data for TlMoPb2 after structural relaxation.

* formation enthalpy at 0 K: 787 meV/atom
* E above lowest polymorph: 0.3251 eV/atom
* space-group type: Pmmm

a b c (Å): 3.517 5.375 5.405
angles (deg): 90.00 90.00 90.00
Positions (direct):
Tl (0.000, 0.000, 0.000)
Mo (0.500, 0.500, 0.000)
Pb (0.000, 0.500, 0.500)
Pb (0.500, 0.000, 0.500)

=====

No. 6
## MgZr2Pb (PBE)

Data for MgZr2Pb after structural relaxation.

* formation enthalpy at 0 K: -41 meV/atom
* space-group type: Cmm2

a b c (Å): 3.200 3.200 9.470
angles (deg): 90.00 90.00 90.12
Positions (direct):
Mg (0.000, 0.000, 0.000)
Zr (0.000, 0.000, 0.485)
Zr (0.500, 0.500, 0.251)
Pb (0.500, 0.500, 0.744)

=====

No. 7
## CeNd6Er (PBE)

Data for CeNd6Er after structural relaxation.

* formation enthalpy at 0 K: 48 meV/atom
* space-group type: Fmmm

a b c (Å): 8.920 8.157 6.295
angles (deg): 74.99 62.04 42.97
Positions (direct):
Ce (0.000, 0.000, 0.000)
Nd (0.121, 0.121, 0.379)
Nd (0.248, 0.248, 0.752)
Nd (0.379, 0.379, 0.121)
Nd (0.621, 0.621, 0.879)
Nd (0.752, 0.752, 0.248)
Nd (0.879, 0.879, 0.621)
Er (0.500, 0.500, 0.500)

=====

No. 8
## Sr2In2Re (PBE)

Data for Sr2In2Re after structural relaxation.

* formation enthalpy at 0 K: 866 meV/atom
* E above lowest polymorph: 0.1427 eV/atom
* space-group type: P4/mbm

a b c (Å): 8.100 8.100 4.917
angles (deg): 90.00 90.00 90.00
Positions (direct):
Sr (0.159, 0.341, 0.000)
Sr (0.341, 0.841, 0.000)
Sr (0.659, 0.159, 0.000)
Sr (0.841, 0.659, 0.000)
In (0.149, 0.649, 0.500)
In (0.351, 0.149, 0.500)
In (0.649, 0.851, 0.500)
In (0.851, 0.351, 0.500)
Re (0.000, 0.000, 0.000)
Re (0.500, 0.500, 0.000)

=====

No. 9
## CdSn2Ir (PBE)

Data for CdSn2Ir after structural relaxation.

* formation enthalpy at 0 K: 29 meV/atom
* space-group type: C2/m

a b c (Å): 3.654 3.654 8.371
angles (deg): 101.87 101.87 62.06
Positions (direct):
Cd (0.000, 0.000, 0.000)
Sn (0.226, 0.226, 0.702)
Sn (0.774, 0.774, 0.298)
Ir (0.500, 0.500, 0.500)

=====

No. 10
## Pm2Tm5Rh4 (PBE)

Data for Pm2Tm5Rh4 after structural relaxation.

* formation enthalpy at 0 K: -438 meV/atom
* space-group type: C2/m

a b c (Å): 12.119 12.119 6.826
angles (deg): 93.50 93.50 16.80
Positions (direct):
Pm (0.087, 0.087, 0.161)
Pm (0.913, 0.913, 0.839)
Tm (0.134, 0.134, 0.681)
Tm (0.233, 0.233, 0.218)
Tm (0.500, 0.500, 0.500)
Tm (0.767, 0.767, 0.782)
Tm (0.866, 0.866, 0.319)
Rh (0.028, 0.028, 0.799)
Rh (0.331, 0.331, 0.021)
Rh (0.669, 0.669, 0.979)
Rh (0.972, 0.972, 0.201)

=====

Number 1: size of the total moment 0.000 μB/atom, total energy -7.61 eV per atom. Number 2: size of the total moment 0.000 μB/atom, total energy -4.64 eV per atom. Number 3: size of the total moment 0.000 μB/atom, total energy -3.13 eV per atom. Number 4: size of the total moment 0.000 μB/atom, total energy -4.12 eV per atom. Number 5: size of the total moment 0.609 μB/atom, total energy -4.37 eV per atom. Number 6: size of the total moment 0.000 μB/atom, total energy -5.64 eV per atom. Number 7: size of the total moment 0.147 μB/atom, total energy -4.84 eV per atom. Number 8: size of the total moment 0.449 μB/atom, total energy -3.39 eV per atom. Number 9: size of the total moment 0.000 μB/atom, total energy -4.42 eV per atom. Number 10: size of the total moment 0.000 μB/atom, total energy -6.01 eV per atom.